Entry from Alexandria via LeMat-Bulk: TlGaSn5 after structural relaxation (PBE).

Cell and atoms, written as POSCAR:
```
TlGaSn5
1.0
-1.552 4.025 1.488
-1.267 -1.942 3.930
8.746 1.970 3.793
Sn Tl Ga
5 1 1
Direct
0.500 0.000 0.248
0.500 0.000 0.752
0.000 0.000 0.000
0.000 0.500 0.752
0.000 0.500 0.248
0.000 0.000 0.500
0.500 0.500 0.000
```

Results
- SG = P4/mmm (123)
- energy above the most stable polymorph in this dataset (meV per atom) = 13
- magnetic moment (μB/atom) = 0.00
- energy of formation (eV/atom) = 0.089
- D(E_F) (states/eV/atom) = 0.472

***

Entry from Alexandria via LeMat-Bulk: Y2Al9Ir6 after structural relaxation (PBE).

Cell and atoms, written as POSCAR:
```
Y2Al9Ir6
1.0
-0.891 2.139 -4.911
-1.840 -4.973 1.170
-10.399 4.782 3.970
Ir Y Al
6 2 9
Direct
0.333 0.667 0.672
0.333 0.667 0.000
0.667 0.333 0.000
0.667 0.333 0.672
0.667 0.333 0.328
0.333 0.667 0.328
0.000 0.000 0.663
0.000 0.000 0.337
0.500 0.000 0.500
0.500 0.500 0.838
0.500 0.500 0.500
0.000 0.500 0.500
0.500 0.000 0.162
0.500 0.500 0.162
0.500 0.000 0.838
0.000 0.500 0.162
0.000 0.500 0.838
```

Results
- SG = P6/mmm (191)
- magnetic moment (μB/atom) = 0.00
- energy of formation (eV/atom) = -0.638
- D(E_F) (states/eV/atom) = 0.429